Material: Ce3Pu3Ge5
Method: DFT, PBE
State: relaxed

a = 8.4942 Å, b = 8.4942 Å, c = 4.9042 Å
α = 90.00°, β = 90.00°, γ = 120.00°
Last column: nearest neighbours and their distance in Å.
Space group P-62m (No. 189)
Inequivalent atoms, fractional coordinates:
Ce 0.0000 0.5495 0.0000  2 Ge 2.82, 2 Pu 3.05
Pu 0.0000 0.7637 0.5000  2 Ge 2.86, 2 Ce 3.05
Ge 0.0000 0.3858 0.5000  2 Ge 2.64, 2 Ce 2.82, 2 Pu 2.86
Ge 0.3333 0.6667 0.5000  3 Ge 2.64

Results
As for the formation energy: 3.6 kJ/mol of atoms.

***

Material: UGeAs
Method: DFT, PBE
State: relaxed

a = 4.8543 Å, b = 4.8543 Å, c = 2.8291 Å
α = 90.00°, β = 90.00°, γ = 120.00°
Last column: nearest neighbours and their distance in Å.
Space group P-6m2 (No. 187)
Inequivalent atoms, fractional coordinates:
U 0.0000 0.0000 0.0000  2 U 2.83, 6 As 3.14, 6 Ge 3.14
Ge 0.3333 0.6667 0.5000  3 As 2.80, 2 Ge 2.83
As 0.6667 0.3333 0.5000  3 Ge 2.80, 2 As 2.83

Results
As for the formation energy: -11.6 kJ/mol of atoms. The value obtained for the energy above the most stable polymorph in this dataset is 1.174 eV/f.u.

***

Material: SbAuBr4
Method: DFT, PBE
State: relaxed

a = 7.2244 Å, b = 20.1554 Å, c = 7.2094 Å
α = 90.00°, β = 91.64°, γ = 90.00°
Last column: nearest neighbours and their distance in Å.
Space group C2/c (No. 15)
Inequivalent atoms, fractional coordinates:
Sb 0.0000 0.0517 0.2500  6 Br 2.84-2.87
Au 0.0000 0.3497 0.7500  2 Br 2.43
Br 0.2183 0.1540 0.4252  1 Au 2.43
Br 0.2223 0.0479 0.9322  2 Sb 2.84-2.87

Results
The value obtained for the energy above the most stable polymorph in this dataset is 0.000 eV/f.u. The value obtained for the energy relative to the elements, uncorrected is -0.418 eV/atom.

***

Material: TbNdNp2As4
Method: DFT, PBE
State: relaxed

a = 7.2019 Å, b = 4.1324 Å, c = 7.2056 Å
α = 90.00°, β = 109.24°, γ = 90.00°
Last column: nearest neighbours and their distance in Å.
Space group P2/m (No. 10)
Inequivalent atoms, fractional coordinates:
Tb 0.0000 0.0000 0.0000  6 As 2.95
Nd 0.5000 0.5000 0.0000  6 As 2.99
Np 0.0000 0.5000 0.5000  6 As 2.89
Np 0.5000 0.0000 0.5000  6 As 2.92
As 0.2427 0.0000 0.7401  3 Np 2.89-2.92, 1 Tb 2.95, 2 Nd 2.99
As 0.2481 0.5000 0.2567  3 Np 2.89-2.92, 2 Tb 2.95, 1 Nd 2.99

Results
As for the formation energy: -103.4 kJ/mol of atoms.

***

Material: CrRu2Se
Method: DFT, PBE
State: relaxed

a = 3.7695 Å, b = 3.7695 Å, c = 8.0518 Å
α = 90.00°, β = 90.00°, γ = 90.00°
Last column: nearest neighbours and their distance in Å.
Space group I-4m2 (No. 119)
Inequivalent atoms, fractional coordinates:
Cr 0.0000 0.0000 0.0000  8 Ru 2.67-2.76, 4 Se 2.76
Ru 0.0000 0.0000 0.5000  4 Cr 2.67, 4 Se 2.76, 4 Ru 2.76
Ru 0.0000 0.5000 0.7500  4 Se 2.67, 4 Cr 2.76, 4 Ru 2.76
Se 0.0000 0.5000 0.2500  8 Ru 2.67-2.76, 4 Cr 2.76

Results
The value obtained for the energy relative to the elements, uncorrected is 0.339 eV/atom.

***

Material: Pm5Nd2Th
Method: DFT, PBE
State: relaxed

a = 7.2797 Å, b = 14.5779 Å, c = 5.1882 Å
α = 90.00°, β = 90.00°, γ = 90.00°
Last column: nearest neighbours and their distance in Å.
Space group Pbam (No. 55)
Inequivalent atoms, fractional coordinates:
Pm 0.0000 0.0000 0.0000  2 Th 3.64, 4 Nd 3.66, 6 Pm 3.66-3.67
Pm 0.0012 0.2518 0.0000  1 Th 3.62, 4 Nd 3.64-3.71, 7 Pm 3.64-3.71
Pm 0.2428 0.6220 0.5000  4 Nd 3.55-3.73, 2 Th 3.61, 6 Pm 3.64-3.71
Nd 0.2442 0.3778 0.5000  10 Pm 3.55-3.73, 2 Th 3.61
Th 0.0000 0.5000 0.0000  8 Pm 3.61-3.64, 4 Nd 3.61

Results
As for the formation energy: 3.2 kJ/mol of atoms. The value obtained for the energy above the most stable polymorph in this dataset is 0.000 eV/f.u.

***

Results for total moment: 21.648, 0.617, 0.000, 0.069, 2.021, 0.000 (in μB per formula unit, following the order of the records).